# 1
DFT (GGA-PBE) results for Nd6InOs2 after structural relaxation.

The space group is Immm (No. 71) and the conventional cell measures 9.7661, 9.9544 and 10.6855 Å, with angles of 90.00, 90.00 and 90.00 degrees. The asymmetric unit holds Nd at (0.0000, 0.2062, 0.2402), Nd at (0.1869, 0.5000, 0.1715), Nd at (0.2195, 0.3148, 0.5000), In at (0.0000, 0.0000, 0.0000), In at (0.0000, 0.0000, 0.5000), Os at (0.0000, 0.3282, 0.0000) and Os at (0.0000, 0.5000, 0.3838).

The calculation puts the formation energy at -0.195 eV/atom. For the magnetic moment, the calculation gives 0.0 μB/cell. For the volume, the calculation gives 28.9 Å³ per atom.

---

# 2
DFT (GGA-PBE) results for Nd7In2Os2 after structural relaxation.

The space group is Cmmm (No. 65) and the conventional cell measures 8.4354, 11.3257 and 7.2452 Å, with angles of 90.00, 90.00 and 90.00 degrees. The asymmetric unit holds Nd at (0.0000, 0.0000, 0.0000), Nd at (0.0000, 0.5000, 0.2432), Nd at (0.2500, 0.2500, 0.2494), In at (0.1708, 0.0000, 0.5000) and Os at (0.0000, 0.2925, 0.0000).

The calculation puts the formation energy at -0.150 eV/atom. For the magnetic moment, the calculation gives 0.0 μB/cell. For the volume, the calculation gives 31.5 Å³ per atom.

---

# 3
DFT (GGA-PBE) results for Nd5InOs2 after structural relaxation.

The space group is I4/mcm (No. 140) and the conventional cell measures 8.0129, 8.0129 and 14.0321 Å, with angles of 90.00, 90.00 and 90.00 degrees. The asymmetric unit holds Nd at (0.0000, 0.0000, 0.0000), Nd at (0.1616, 0.3384, 0.1312), In at (0.0000, 0.0000, 0.2500) and Os at (0.1381, 0.3619, 0.5000).

The calculation puts the formation energy at -0.199 eV/atom. For the magnetic moment, the calculation gives 0.0 μB/cell. For the volume, the calculation gives 28.2 Å³ per atom.

---

What did the third record say?
DFT (GGA-PBE) results for Nd5InOs2 after structural relaxation.

The space group is I4/mcm (No. 140) and the conventional cell measures 8.0129, 8.0129 and 14.0321 Å, with angles of 90.00, 90.00 and 90.00 degrees. The asymmetric unit holds Nd at (0.0000, 0.0000, 0.0000), Nd at (0.1616, 0.3384, 0.1312), In at (0.0000, 0.0000, 0.2500) and Os at (0.1381, 0.3619, 0.5000).

The calculation puts the formation energy at -0.199 eV/atom. For the magnetic moment, the calculation gives 0.0 μB/cell. For the volume, the calculation gives 28.2 Å³ per atom.

---

> Which formula does entry 1 have?

Nd6InOs2